Entry 1:
## GaFeCoNi (GGA-PBE)

Data for an optimized crystal structure of GaFeCoNi.

extended XYZ file:
```
8
Lattice="3.779 0.000 0.000 0.000 3.779 0.000 0.000 0.000 6.603" Properties=species:S:1:pos:R:3 pbc="T T T"
Ga 0.000 0.000 0.000
Ga 1.889 1.889 3.301
Fe 0.000 0.000 3.301
Fe 1.889 1.889 0.000
Co 0.000 1.889 4.952
Co 1.889 0.000 1.651
Ni 0.000 1.889 1.651
Ni 1.889 0.000 4.952
```

SG: No. 119
calculated total energy: -6.303 eV per atom


Entry 2:
## TlMoSe2 (GGA-PBE)

Data for an optimized crystal structure of TlMoSe2.

extended XYZ file:
```
8
Lattice="3.221 0.000 0.000 0.000 3.328 0.000 0.000 0.000 17.679" Properties=species:S:1:pos:R:3 pbc="T T T"
Tl 0.000 0.000 0.000
Tl 1.610 1.664 8.839
Mo 0.000 1.664 13.132
Mo 1.610 0.000 4.293
Se 0.000 0.000 6.193
Se 0.000 1.664 3.058
Se 1.610 0.000 11.897
Se 1.610 1.664 15.032
```

E_form (uncorrected): -191 meV/atom
SG: No. 44


Entry 3:
## LiGa2SbH (GGA-PBE)

Data for an optimized crystal structure of LiGa2SbH.

extended XYZ file:
```
5
Lattice="4.442 0.000 0.000 0.000 4.442 0.000 0.000 0.000 4.328" Properties=species:S:1:pos:R:3 pbc="T T T"
Li 0.000 0.000 0.000
Ga 0.000 2.221 2.164
Ga 2.221 0.000 2.164
Sb 2.221 2.221 0.000
H 0.000 0.000 2.164
```

SG: No. 123
calculated total energy: -3.123 eV per atom


Entry 4:
## ScFe2 (GGA-PBE)

Data for an optimized crystal structure of ScFe2.

extended XYZ file:
```
12
Lattice="4.914 0.000 0.000 -2.457 4.255 0.000 0.000 0.000 8.048" Properties=species:S:1:pos:R:3 pbc="T T T"
Sc 0.000 2.837 0.504
Sc 0.000 2.837 3.520
Sc 2.457 1.418 4.528
Sc 2.457 1.418 7.544
Fe 0.000 0.000 0.000
Fe 0.000 0.000 4.024
Fe 0.000 1.431 6.036
Fe -1.218 3.540 6.036
Fe 1.239 0.715 2.012
Fe 1.218 3.540 6.036
Fe 3.675 0.715 2.012
Fe 2.457 2.825 2.012
```

SG: No. 194
calculated total energy: -8.005 eV per atom


Entry 5:
## SrPmNdIn (GGA-PBE)

Data for an optimized crystal structure of SrPmNdIn.

extended XYZ file:
```
16
Lattice="8.077 0.000 0.000 0.000 8.077 0.000 0.000 0.000 8.077" Properties=species:S:1:pos:R:3 pbc="T T T"
Sr 0.000 0.000 0.000
Sr 0.000 4.039 4.039
Sr 4.039 0.000 4.039
Sr 4.039 4.039 0.000
Pm 2.019 2.019 6.058
Pm 2.019 6.058 2.019
Pm 6.058 2.019 2.019
Pm 6.058 6.058 6.058
Nd 2.019 2.019 2.019
Nd 2.019 6.058 6.058
Nd 6.058 2.019 6.058
Nd 6.058 6.058 2.019
In 0.000 0.000 4.039
In 0.000 4.039 0.000
In 4.039 0.000 0.000
In 4.039 4.039 4.039
```

SG: No. 216
calculated total energy: -3.564 eV per atom


Entry 6:
## TcAgSb2 (GGA-PBE)

Data for an optimized crystal structure of TcAgSb2.

extended XYZ file:
```
8
Lattice="4.628 0.000 0.000 0.000 3.379 0.000 0.000 0.000 10.335" Properties=species:S:1:pos:R:3 pbc="T T T"
Tc 0.000 0.000 0.000
Tc 0.000 1.689 5.168
Ag 2.314 0.000 8.587
Ag 2.314 1.689 3.419
Sb 0.000 0.000 2.920
Sb 0.000 1.689 8.087
Sb 2.314 0.000 5.839
Sb 2.314 1.689 0.672
```

E_form (uncorrected): 232 meV/atom
SG: No. 38
distance to the lowest polymorph of the same formula: 11.82 kJ per mole of atoms


Number 1: magnetization 1.031 μB per atom. Number 2: magnetization 0.000 μB per atom. Number 3: magnetization 0.000 μB per atom. Number 4: magnetization 0.917 μB per atom. Number 5: magnetization 0.000 μB per atom. Number 6: magnetization 0.000 μB per atom.